No. 1
DFT (PBE) results for InReSe2 after structural relaxation.

## Properties
- Formation energy without anion corrections: 0.1981 eV per atom
- Calculated volume: 89.0 Å³ per cell
- DOS at the Fermi energy: 4.2 states/eV per cell
- DFT total energy: -5.341 eV per atom
- Space-group type: Immm, No. 71

extended XYZ file:
```
4
Lattice="-1.586 2.365 5.935 1.586 -2.365 5.935 1.586 2.365 -5.935" Properties=species:S:1:pos:R:3 pbc="T T T"
In 0.000 0.000 0.000
Re 0.000 0.000 5.935
Se 1.586 0.000 3.924
Se 0.000 2.365 2.011
```



No. 2
DFT (PBE) results for In2ReSe after structural relaxation.

## Properties
- Formation energy without anion corrections: 0.6432 eV per atom
- Calculated volume: 78.4 Å³ per cell
- DOS at the Fermi energy: 3.3 states/eV per cell
- DFT total energy: -4.709 eV per atom
- Space-group type: C2/m, No. 12

extended XYZ file:
```
4
Lattice="5.132 -1.769 0.000 5.132 1.769 0.000 -2.253 0.000 4.317" Properties=species:S:1:pos:R:3 pbc="T T T"
In 1.967 0.000 1.054
In 6.044 0.000 3.263
Re 5.132 0.000 0.000
Se -1.127 0.000 2.158
```



No. 3
DFT (PBE) results for InRe4Se7 after structural relaxation.

## Properties
- Formation energy without anion corrections: 0.1941 eV per atom
- Calculated volume: 540.0 Å³ per cell
- DOS at the Fermi energy: 17.4 states/eV per cell
- DFT total energy: -6.216 eV per atom
- Space-group type: Pmn2_1, No. 31

extended XYZ file:
```
24
Lattice="14.707 0.000 0.000 0.000 7.866 0.000 0.000 0.000 4.668" Properties=species:S:1:pos:R:3 pbc="T T T"
In 0.000 1.631 0.000
In 7.353 6.235 2.334
Re 2.154 5.920 2.239
Re 3.507 6.108 4.573
Re 3.846 1.758 2.239
Re 5.200 1.947 4.573
Re 9.507 1.947 4.573
Re 10.860 1.758 2.239
Re 11.200 6.108 4.573
Re 12.553 5.920 2.239
Se 0.000 7.208 2.256
Se 1.490 4.918 4.575
Se 1.989 3.279 2.246
Se 3.005 0.795 4.568
Se 4.348 7.071 2.234
Se 5.364 4.587 4.580
Se 5.864 2.948 2.241
Se 7.353 0.658 4.590
Se 8.843 2.948 2.241
Se 9.343 4.587 4.580
Se 10.358 7.071 2.234
Se 11.702 0.795 4.568
Se 12.717 3.279 2.246
Se 13.217 4.918 4.575
```



No. 4
DFT (PBE) results for In2ReSe after structural relaxation.

## Properties
- Formation energy without anion corrections: 0.8219 eV per atom
- Calculated volume: 79.6 Å³ per cell
- DOS at the Fermi energy: 5.1 states/eV per cell
- DFT total energy: -4.530 eV per atom
- Space-group type: F-43m, No. 216

extended XYZ file:
```
4
Lattice="0.000 3.414 3.414 3.414 0.000 3.414 3.414 3.414 0.000" Properties=species:S:1:pos:R:3 pbc="T T T"
In 0.000 0.000 0.000
In 1.707 1.707 1.707
Re 5.121 5.121 5.121
Se 3.414 3.414 3.414
```



No. 5
DFT (PBE) results for InRe2Se after structural relaxation.

## Properties
- Formation energy without anion corrections: 0.5318 eV per atom
- Calculated volume: 73.2 Å³ per cell
- DOS at the Fermi energy: 4.0 states/eV per cell
- DFT total energy: -7.248 eV per atom
- Space-group type: Cm, No. 8

extended XYZ file:
```
4
Lattice="5.234 -1.497 0.000 5.234 1.497 0.000 -2.741 0.000 4.674" Properties=species:S:1:pos:R:3 pbc="T T T"
In 0.000 0.000 0.000
Re 0.068 0.000 4.264
Re 4.257 0.000 2.392
Se 7.537 0.000 1.604
```



No. 6
DFT (PBE) results for InReSe2 after structural relaxation.

## Properties
- Formation energy without anion corrections: 0.7586 eV per atom
- Calculated volume: 79.1 Å³ per cell
- DOS at the Fermi energy: 3.1 states/eV per cell
- DFT total energy: -4.780 eV per atom
- Space-group type: C2/m, No. 12

extended XYZ file:
```
4
Lattice="2.882 -5.145 0.000 2.882 5.145 0.000 -0.612 0.000 2.666" Properties=species:S:1:pos:R:3 pbc="T T T"
In 0.000 0.000 0.000
Re 2.882 0.000 0.000
Se 1.441 2.573 0.000
Se 1.441 -2.573 0.000
```



No. 7
DFT (PBE) results for InRe2Se after structural relaxation.

## Properties
- Formation energy without anion corrections: 0.8922 eV per atom
- Calculated volume: 69.5 Å³ per cell
- DOS at the Fermi energy: 4.6 states/eV per cell
- DFT total energy: -6.888 eV per atom
- Space-group type: Pmmm, No. 47

extended XYZ file:
```
4
Lattice="2.938 0.000 0.000 0.000 4.856 0.000 0.000 0.000 4.875" Properties=species:S:1:pos:R:3 pbc="T T T"
In 0.000 0.000 0.000
Re 0.000 2.428 2.438
Re 1.469 2.428 0.000
Se 1.469 0.000 2.438
```



No. 8
DFT (PBE) results for InReSe2 after structural relaxation.

## Properties
- Formation energy without anion corrections: 0.1264 eV per atom
- Calculated volume: 84.4 Å³ per cell
- DOS at the Fermi energy: 2.9 states/eV per cell
- DFT total energy: -5.412 eV per atom
- Space-group type: P4/mmm, No. 123

extended XYZ file:
```
4
Lattice="3.071 0.000 0.000 0.000 3.071 0.000 0.000 0.000 8.947" Properties=species:S:1:pos:R:3 pbc="T T T"
In 0.000 0.000 0.000
Re 0.000 0.000 4.474
Se 1.536 1.536 2.918
Se 1.536 1.536 6.029
```